Density functional theory data (GGA-PBE) for crystalline LaMgBeZn at its relaxed geometry.

Summary:
total energy = -2.95 eV/atom

Unit cell a=6.923 b=6.923 c=6.923 alpha=90.00 beta=90.00 gamma=90.00
Space group F-43m (No. 216)
Unique sites:
1 La 0.000 0.000 0.000
2 Mg 0.000 0.000 0.500
3 Be 0.250 0.250 0.750
4 Zn 0.250 0.250 0.250